Record 1
VASP calculation (GGA-PBE) on an optimized crystal structure of MnCu2H2.

Properties
E above lowest polymorph = 0.0 meV per atom

CIF file:
```
data_MnCu2H2
_cell_length_a 4.979
_cell_length_b 4.979
_cell_length_c 3.702
_cell_angle_alpha 90.00
_cell_angle_beta 90.00
_cell_angle_gamma 90.00
_symmetry_space_group_name_H-M 'P 4/m b m'
_symmetry_Int_Tables_number 127
_symmetry_space_group_name_Hall '-P 4 2ab'
loop_
_atom_site_label
_atom_site_fract_x
_atom_site_fract_y
_atom_site_fract_z
Mn1 0.000 0.000 0.000
Cu1 0.185 0.315 0.500
H1 0.186 0.314 0.000
```

***

Record 2
VASP calculation (GGA-PBE) on an optimized crystal structure of Mn2CuH.

Properties
E above lowest polymorph = 123.1 meV per atom

CIF file:
```
data_Mn2CuH
_cell_length_a 2.554
_cell_length_b 2.556
_cell_length_c 6.743
_cell_angle_alpha 100.64
_cell_angle_beta 90.06
_cell_angle_gamma 119.94
_symmetry_space_group_name_H-M 'P 1'
_symmetry_Int_Tables_number 1
_symmetry_space_group_name_Hall 'P 1'
loop_
_atom_site_label
_atom_site_fract_x
_atom_site_fract_y
_atom_site_fract_z
Mn1 0.000 0.000 0.000
Mn2 0.109 0.219 0.299
Cu1 0.559 0.126 0.674
H1 0.824 0.648 0.443
```

***

Record 3
VASP calculation (GGA-PBE) on an optimized crystal structure of Mn2CuH.

Properties
E above lowest polymorph = 234.4 meV per atom

CIF file:
```
data_Mn2CuH
_cell_length_a 5.611
_cell_length_b 5.611
_cell_length_c 5.659
_cell_angle_alpha 90.00
_cell_angle_beta 90.00
_cell_angle_gamma 90.00
_symmetry_space_group_name_H-M 'I -4 2 d'
_symmetry_Int_Tables_number 122
_symmetry_space_group_name_Hall 'I -4 2bw'
loop_
_atom_site_label
_atom_site_fract_x
_atom_site_fract_y
_atom_site_fract_z
Mn1 0.152 0.750 0.125
Cu1 0.000 0.000 0.500
H1 0.000 0.000 0.000
```

***

Record 4
VASP calculation (GGA-PBE) on an optimized crystal structure of Mn2CuH.

Properties
E above lowest polymorph = 34.8 meV per atom

CIF file:
```
data_Mn2CuH
_cell_length_a 2.5686
_cell_length_b 2.5686
_cell_length_c 18.9825
_cell_angle_alpha 90.00
_cell_angle_beta 90.00
_cell_angle_gamma 120.00
_symmetry_space_group_name_H-M 'R 3 m'
_symmetry_Int_Tables_number 160
_symmetry_space_group_name_Hall 'R 3 -2"'
loop_
_atom_site_label
_atom_site_fract_x
_atom_site_fract_y
_atom_site_fract_z
Mn1 0.0000 0.0000 0.0000
Mn2 0.0000 0.0000 0.2259
Cu1 0.0000 0.0000 0.7801
H1 0.0000 0.0000 0.6120
```

***

Record 5
VASP calculation (GGA-PBE) on an optimized crystal structure of Mn2CuH2.

Properties
E above lowest polymorph = 0.0 meV per atom

CIF file:
```
data_Mn2CuH2
_cell_length_a 3.103
_cell_length_b 3.103
_cell_length_c 8.053
_cell_angle_alpha 90.00
_cell_angle_beta 90.00
_cell_angle_gamma 90.00
_symmetry_space_group_name_H-M 'I 4/m m m'
_symmetry_Int_Tables_number 139
_symmetry_space_group_name_Hall '-I 4 2'
loop_
_atom_site_label
_atom_site_fract_x
_atom_site_fract_y
_atom_site_fract_z
Mn1 0.000 0.000 0.159
Cu1 0.000 0.000 0.500
H1 0.000 0.500 0.250
```

***

Record 6
VASP calculation (GGA-PBE) on an optimized crystal structure of MnCu2H2.

Properties
E above lowest polymorph = 309.1 meV per atom

CIF file:
```
data_MnCu2H2
_cell_length_a 3.522
_cell_length_b 3.522
_cell_length_c 8.171
_cell_angle_alpha 90.00
_cell_angle_beta 90.00
_cell_angle_gamma 90.00
_symmetry_space_group_name_H-M 'I 4/m m m'
_symmetry_Int_Tables_number 139
_symmetry_space_group_name_Hall '-I 4 2'
loop_
_atom_site_label
_atom_site_fract_x
_atom_site_fract_y
_atom_site_fract_z
Mn1 0.000 0.000 0.000
Cu1 0.000 0.500 0.250
H1 0.000 0.000 0.325
```

***

Record 7
VASP calculation (GGA-PBE) on an optimized crystal structure of Mn5Cu3H12.

CIF file:
```
data_Mn5Cu3H12
_cell_length_a 10.611
_cell_length_b 10.611
_cell_length_c 10.611
_cell_angle_alpha 90.00
_cell_angle_beta 90.00
_cell_angle_gamma 90.00
_symmetry_space_group_name_H-M 'I a -3 d'
_symmetry_Int_Tables_number 230
_symmetry_space_group_name_Hall '-I 4bd 2c 3'
loop_
_atom_site_label
_atom_site_fract_x
_atom_site_fract_y
_atom_site_fract_z
Mn1 0.000 0.000 0.000
Mn2 0.000 0.250 0.375
Cu1 0.000 0.250 0.125
H1 0.002 0.045 0.653
```

***

Record 8
VASP calculation (GGA-PBE) on an optimized crystal structure of Mn2CuH.

Properties
E above lowest polymorph = 27.2 meV per atom

CIF file:
```
data_Mn2CuH
_cell_length_a 2.5310
_cell_length_b 2.5310
_cell_length_c 20.0348
_cell_angle_alpha 90.00
_cell_angle_beta 90.00
_cell_angle_gamma 120.00
_symmetry_space_group_name_H-M 'R 3 m'
_symmetry_Int_Tables_number 160
_symmetry_space_group_name_Hall 'R 3 -2"'
loop_
_atom_site_label
_atom_site_fract_x
_atom_site_fract_y
_atom_site_fract_z
Mn1 0.0000 0.0000 0.0000
Mn2 0.0000 0.0000 0.2405
Cu1 0.0000 0.0000 0.4663
H1 0.0000 0.0000 0.3809
```

***

Total magnetic moment for every record listed, in sequence, given in μB per atom: 0.621 0.000 1.703 0.093 0.000 0.860 0.740 0.000.
Calculated density for every record listed, in sequence, given in g/cm3: 6.7 7.8 6.5 8.0 7.5 6.0 5.3 7.8.
E for every record listed, in sequence, given in eV per atom: -4.67 -6.24 -6.13 -6.33 -5.62 -4.36 -4.75 -6.33.